The following is a DFT calculation (PBEsol) of crystalline SrAg2Te at its relaxed geometry.

a = 4.5103 Å, b = 4.5103 Å, c = 9.5452 Å
α = 90.00°, β = 90.00°, γ = 90.00°
With the nearest neighbours (Å) after each atom.
Atoms (fractional coordinates):
Sr1 0.0000 0.0000 0.0000  4 Te 3.19, 8 Ag 3.28
Sr2 0.5000 0.5000 0.5000  4 Te 3.19, 8 Ag 3.28
Ag1 0.0000 0.5000 0.2500  4 Ag 3.19, 4 Te 3.28, 4 Sr 3.28
Ag2 0.0000 0.5000 0.7500  4 Ag 3.19, 4 Te 3.28, 4 Sr 3.28
Ag3 0.5000 0.0000 0.2500  4 Ag 3.19, 4 Te 3.28, 4 Sr 3.28
Ag4 0.5000 0.0000 0.7500  4 Ag 3.19, 4 Te 3.28, 4 Sr 3.28
Te1 0.0000 0.0000 0.5000  4 Sr 3.19, 8 Ag 3.28
Te2 0.5000 0.5000 0.0000  4 Sr 3.19, 8 Ag 3.28

Properties
As for the formation energy without anion corrections: -0.345 eV/atom. The calculation puts the spin magnetization at 0.00 μB/f.u. The space group is No. 139.